(1)
Material: Tl2InHg6
Method: DFT, GGA-PBE
State: relaxed Values from VASP.

Energy relative to the elements (eV/atom): 0.000
Energy above the lowest structure with this stoichiometry (eV/f.u.): 0.021

The structure in Quantum ESPRESSO input format:
```
&SYSTEM
  ibrav = 0, nat = 9, ntyp = 3
/
ATOMIC_SPECIES
Tl 204.38 Tl.upf
In 114.82 In.upf
Hg 200.59 Hg.upf
ATOMIC_POSITIONS angstrom
Tl 0.0000 5.3293 0.0000
Tl 4.6153 2.6647 0.0000
In 0.0000 0.0000 1.7147
Hg -1.5483 2.6817 2.2119
Hg -3.0671 5.3123 1.2175
Hg 3.0965 0.0000 2.2119
Hg 1.5483 2.6817 1.2175
Hg 6.1341 0.0000 1.2175
Hg 3.0671 5.3123 2.2119
CELL_PARAMETERS angstrom
9.2307 0.0000 0.0000
-4.6153 7.9940 0.0000
0.0000 0.0000 3.4293
```



(2)
Material: Tb5CeSm2Dy
Method: DFT, GGA-PBE
State: relaxed Values from VASP.

Energy relative to the elements (eV/atom): 0.273

The structure in Quantum ESPRESSO input format:
```
&SYSTEM
  ibrav = 0, nat = 18, ntyp = 4
/
ATOMIC_SPECIES
Tb 158.93 Tb.upf
Ce 140.12 Ce.upf
Sm 150.36 Sm.upf
Dy 162.50 Dy.upf
ATOMIC_POSITIONS angstrom
Tb 0.0000 0.0000 0.0000
Tb 6.0006 1.7151 -2.2215
Tb 1.7151 2.5705 -2.2215
Tb 6.0006 1.7151 2.2215
Tb 1.7151 2.5705 2.2215
Tb 0.0000 0.0000 7.8663
Tb 2.5705 1.7151 5.6448
Tb -1.7151 2.5705 5.6448
Tb 2.5705 1.7151 10.0878
Tb -1.7151 2.5705 10.0878
Ce 4.2855 0.0000 3.9331
Ce 0.0000 4.2855 3.9331
Sm 3.2365 1.0490 0.0000
Sm 3.2365 -1.0490 7.8663
Sm 1.0490 5.3345 0.0000
Sm 1.0490 3.2365 7.8663
Dy 0.0000 0.0000 3.9331
Dy 0.0000 0.0000 11.7994
CELL_PARAMETERS angstrom
-4.2855 4.2855 7.8663
4.2855 -4.2855 7.8663
4.2855 4.2855 -7.8663
```



(3)
Material: TaSi3H
Method: DFT, GGA-PBE
State: relaxed Values from VASP.

Energy above the lowest structure with this stoichiometry (eV/f.u.): 3.276

The structure in Quantum ESPRESSO input format:
```
&SYSTEM
  ibrav = 0, nat = 5, ntyp = 3
/
ATOMIC_SPECIES
Ta 180.95 Ta.upf
Si 28.09 Si.upf
H 1.01 H.upf
ATOMIC_POSITIONS angstrom
Ta 0.0000 0.0000 0.0000
Si 0.0000 0.0000 2.4507
Si 0.0000 2.4507 0.0000
Si 2.4507 0.0000 0.0000
H 2.4507 2.4507 2.4507
CELL_PARAMETERS angstrom
4.9013 0.0000 0.0000
0.0000 4.9013 0.0000
0.0000 0.0000 4.9013
```



(4)
Material: Cs2LiAgCl6
Method: DFT, GGA-PBE
State: relaxed Values from VASP.

Formation energy (no corrections) (kJ per mole of atoms): -119

The structure in Quantum ESPRESSO input format:
```
&SYSTEM
  ibrav = 0, nat = 10, ntyp = 4
/
ATOMIC_SPECIES
Cs 132.91 Cs.upf
Li 6.94 Li.upf
Ag 107.87 Ag.upf
Cl 35.45 Cl.upf
ATOMIC_POSITIONS angstrom
Cs 3.6686 0.0000 2.6146
Cs 0.0000 3.6686 2.6146
Li 0.0000 0.0000 0.0000
Ag 0.0000 0.0000 5.2291
Cl 1.7990 1.7990 0.0000
Cl 1.8696 -1.8696 5.2291
Cl 0.0000 0.0000 2.8196
Cl 0.0000 0.0000 7.6387
Cl -1.8696 1.8696 5.2291
Cl 1.8696 1.8696 5.2291
CELL_PARAMETERS angstrom
-3.6686 3.6686 5.2291
3.6686 -3.6686 5.2291
3.6686 3.6686 -5.2291
```



(5)
Material: FeCu4Pb
Method: DFT, GGA-PBE
State: relaxed Values from VASP.

Energy relative to the elements (eV/atom): 0.303

The structure in Quantum ESPRESSO input format:
```
&SYSTEM
  ibrav = 0, nat = 6, ntyp = 3
/
ATOMIC_SPECIES
Fe 55.84 Fe.upf
Cu 63.55 Cu.upf
Pb 207.20 Pb.upf
ATOMIC_POSITIONS angstrom
Fe 0.0000 0.0000 0.0000
Cu 2.6338 2.6338 2.6338
Cu 4.4089 4.4089 2.6338
Cu 4.4089 2.6338 4.4089
Cu 2.6338 4.4089 4.4089
Pb 5.2820 5.2820 5.2820
CELL_PARAMETERS angstrom
0.0000 3.5214 3.5214
3.5214 0.0000 3.5214
3.5214 3.5214 0.0000
```



(6)
Material: Pa2Co6Si
Method: DFT, GGA-PBE
State: relaxed Values from VASP.

Formation energy (no corrections) (kJ per mole of atoms): -43

The structure in Quantum ESPRESSO input format:
```
&SYSTEM
  ibrav = 0, nat = 9, ntyp = 3
/
ATOMIC_SPECIES
Pa 231.04 Pa.upf
Co 58.93 Co.upf
Si 28.09 Si.upf
ATOMIC_POSITIONS angstrom
Pa 0.7903 0.0000 1.7628
Pa 6.6633 0.0000 3.8345
Co 2.9250 1.3043 1.0308
Co 4.5287 1.3043 4.5664
Co 2.3019 0.0000 4.6331
Co 5.1518 0.0000 0.9642
Co 2.9250 -1.3043 1.0308
Co 4.5287 -1.3043 4.5664
Si 3.7268 0.0000 2.7986
CELL_PARAMETERS angstrom
4.3814 -2.5583 0.0000
4.3814 2.5583 0.0000
-1.3091 0.0000 5.5972
```



(7)
Material: CuHPt3
Method: DFT, GGA-PBE
State: relaxed Values from VASP.

Energy above the lowest structure with this stoichiometry (eV/f.u.): 0.000

The structure in Quantum ESPRESSO input format:
```
&SYSTEM
  ibrav = 0, nat = 5, ntyp = 3
/
ATOMIC_SPECIES
Cu 63.55 Cu.upf
H 1.01 H.upf
Pt 195.08 Pt.upf
ATOMIC_POSITIONS angstrom
Cu 0.0000 0.0000 0.0000
H 0.0000 0.0000 1.7819
Pt -1.4592 -0.8425 2.3972
Pt 1.4592 -0.8425 2.3972
Pt 0.0000 1.6849 2.3972
CELL_PARAMETERS angstrom
2.8253 1.6312 2.2927
-2.8253 1.6312 2.2927
0.0000 -3.2624 2.2927
```



(8)
Material: Ac3Ge2Cl
Method: DFT, GGA-PBE
State: relaxed Values from VASP.

Energy above the lowest structure with this stoichiometry (eV/f.u.): 0.737
Formation energy (no corrections) (kJ per mole of atoms): -94

The structure in Quantum ESPRESSO input format:
```
&SYSTEM
  ibrav = 0, nat = 12, ntyp = 3
/
ATOMIC_SPECIES
Ac 227.00 Ac.upf
Ge 72.64 Ge.upf
Cl 35.45 Cl.upf
ATOMIC_POSITIONS angstrom
Ac 4.3650 1.5078 1.9663
Ac 6.9714 3.0140 5.8989
Ac 4.3650 -1.5078 5.8989
Ac 9.5778 1.5078 1.9663
Ac 6.9714 -3.0140 1.9663
Ac 9.5778 -1.5078 5.8989
Ge 2.3249 0.0000 0.0000
Ge 2.3249 0.0000 3.9326
Ge 11.6179 0.0000 0.0000
Ge 11.6179 0.0000 3.9326
Cl 6.9714 -0.0019 1.9663
Cl 6.9714 0.0019 5.8989
CELL_PARAMETERS angstrom
6.9714 -4.0289 0.0000
6.9714 4.0289 0.0000
0.0000 0.0000 7.8652
```